Here is a geometry-optimized AcGeIr2C structure from the Alexandria database. Energies are from GGA-PBE.

Cell: 4.203 11.541 7.426 Å, 90.00 90.00 90.00°
Space group Cmcm (No. 63)
Symmetry-distinct sites (fractional):
Ac1 0.000 0.055 0.250 (multiplicity 4)
Ge1 0.000 0.228 0.750 (multiplicity 4)
Ir1 0.000 0.340 0.052 (multiplicity 8)
C1 0.000 0.500 0.000 (multiplicity 4)

N(E_F) (states/eV/cell): 8.6
Formation energy (eV per atom): -0.46



Here is a geometry-optimized AlPd3Au structure from the Alexandria database. Energies are from GGA-PBE.

Cell: 4.545 4.545 4.545 Å, 90.00 90.00 90.00°
Space group Pm-3m (No. 221)
Symmetry-distinct sites (fractional):
Al1 0.000 0.000 0.000 (multiplicity 1)
Pd1 0.000 0.000 0.500 (multiplicity 3)
Au1 0.500 0.500 0.500 (multiplicity 1)

N(E_F) (states/eV/cell): 0.5
Formation energy (eV per atom): 0.16
Polymorph energy (0 for the lowest one) (meV per atom): 599



Here is a geometry-optimized PBr3F structure from the Alexandria database. Energies are from GGA-PBE.

Cell: 5.012 5.012 5.012 Å, 90.00 90.00 90.00°
Space group Pm-3m (No. 221)
Symmetry-distinct sites (fractional):
P1 0.000 0.000 0.000 (multiplicity 1)
Br1 0.000 0.000 0.500 (multiplicity 3)
F1 0.500 0.500 0.500 (multiplicity 1)

N(E_F) (states/eV/cell): 8.2
Polymorph energy (0 for the lowest one) (meV per atom): 799
Formation energy without anion corrections (eV/f.u.): 0.34



Here is a geometry-optimized YScOF2 structure from the Alexandria database. Energies are from GGA-PBE.

Cell: 4.442 4.442 4.403 Å, 90.00 90.00 90.00°
Space group P4/mmm (No. 123)
Symmetry-distinct sites (fractional):
Y1 0.000 0.000 0.000 (multiplicity 1)
Sc1 0.500 0.500 0.500 (multiplicity 1)
O1 0.000 0.000 0.500 (multiplicity 1)
F1 0.000 0.500 0.000 (multiplicity 2)

N(E_F) (states/eV/cell): 5.6
Polymorph energy (0 for the lowest one) (meV per atom): 113
Formation energy without anion corrections (eV/f.u.): -12.49



Here is a geometry-optimized LiBe3Pt structure from the Alexandria database. Energies are from GGA-PBE.

Cell: 4.292 4.292 4.292 Å, 90.00 90.00 90.00°
Space group Pm-3m (No. 221)
Symmetry-distinct sites (fractional):
Li1 0.000 0.000 0.000 (multiplicity 1)
Be1 0.000 0.500 0.500 (multiplicity 3)
Pt1 0.500 0.500 0.500 (multiplicity 1)

N(E_F) (states/eV/cell): 1.4
Formation energy (eV per atom): -0.01
Polymorph energy (0 for the lowest one) (meV per atom): 0



Here is a geometry-optimized HfTiAs2Se structure from the Alexandria database. Energies are from GGA-PBE.

Cell: 4.835 4.835 4.802 Å, 90.00 90.00 90.00°
Space group P4/mmm (No. 123)
Symmetry-distinct sites (fractional):
Hf1 0.000 0.000 0.000 (multiplicity 1)
Ti1 0.500 0.500 0.500 (multiplicity 1)
As1 0.000 0.500 0.500 (multiplicity 2)
Se1 0.500 0.500 0.000 (multiplicity 1)

N(E_F) (states/eV/cell): 3.4
Polymorph energy (0 for the lowest one) (meV per atom): 0
Formation energy without anion corrections (eV/f.u.): 0.44



- Look up the N(E_F) of the first one.
  8.6 states/eV/cell



Please write out number 4 again, unchanged.
Here is a geometry-optimized YScOF2 structure from the Alexandria database. Energies are from GGA-PBE.

Cell: 4.442 4.442 4.403 Å, 90.00 90.00 90.00°
Space group P4/mmm (No. 123)
Symmetry-distinct sites (fractional):
Y1 0.000 0.000 0.000 (multiplicity 1)
Sc1 0.500 0.500 0.500 (multiplicity 1)
O1 0.000 0.000 0.500 (multiplicity 1)
F1 0.000 0.500 0.000 (multiplicity 2)

N(E_F) (states/eV/cell): 5.6
Polymorph energy (0 for the lowest one) (meV per atom): 113
Formation energy without anion corrections (eV/f.u.): -12.49



- Among the records above, which one has the highest N(E_F)?
  AcGeIr2C



- Which formula does entry 1 have?
  AcGeIr2C